Computed, not measured: an optimized crystal structure of PmNd7Ho3 at the PBE level of DFT.

a b c (Å): 5.937 8.590 8.590
angles (deg): 83.47 110.18 110.18
Fractional coordinates of all 11 atoms:
Pm 0.500 0.500 0.500
Nd 0.208 0.209 0.209
Nd 0.305 0.012 0.597
Nd 0.695 0.403 0.988
Nd 0.305 0.597 0.012
Nd 0.000 0.500 0.500
Nd 0.695 0.988 0.403
Nd 0.792 0.791 0.791
Ho 0.000 0.797 0.203
Ho 0.500 0.000 0.000
Ho 0.000 0.203 0.797

Properties
The symmetry is Immm (71). As for the calculated density: 7097 kg/m3. For the total magnetic moment, the calculation gives 0.090 μB/f.u. Its relative energy among the computed polymorphs is 0.0427 eV per atom. The calculation puts the electronic total energy at -0.165 Ha/atom. For the formation energy, the calculation gives 5.05 kcal/mol of atoms.